# 1
# Hf2VIrRu

An optimized crystal structure of Hf2VIrRu (PBE, the Alexandria database).

```
5
Lattice="4.7455 0.0000 0.0000 0.0000 4.7455 0.0000 0.0000 0.0000 4.3708" Properties=species:S:1:pos:R:3 pbc="T T T"
Hf 0.0000 2.3727 0.0000
Hf 2.3727 0.0000 0.0000
V 0.0000 0.0000 0.0000
Ir 0.0000 0.0000 2.1854
Ru 2.3727 2.3727 2.1854
```

Results
* calculated formation energy: 0.840 eV per atom
* total magnetization: 0.46 Bohr magnetons per cell
* symmetry: P4/mmm, No. 123

# 2
# YHfIrRu

An optimized crystal structure of YHfIrRu (PBE, the Alexandria database).

```
4
Lattice="0.0000 3.3345 3.3345 3.3345 0.0000 3.3345 3.3345 3.3345 0.0000" Properties=species:S:1:pos:R:3 pbc="T T T"
Y 0.0000 0.0000 0.0000
Hf 3.3345 3.3345 3.3345
Ir 5.0017 5.0017 5.0017
Ru 1.6672 1.6672 1.6672
```

Results
* calculated formation energy: -0.703 eV per atom
* total magnetization: 0.00 Bohr magnetons per cell
* symmetry: F-43m, No. 216

# 3
# Hf4IrS

An optimized crystal structure of Hf4IrS (PBE, the Alexandria database).

```
12
Lattice="5.7157 0.0000 0.0000 -0.0026 6.3683 0.0000 -1.5068 -3.1781 6.6197" Properties=species:S:1:pos:R:3 pbc="T T T"
Hf 0.1193 1.0254 1.0510
Hf 0.0285 3.9838 2.2630
Hf 1.3187 0.8004 4.3579
Hf 1.2280 -2.1542 5.5676
Hf 2.9783 5.3444 1.0521
Hf 2.8876 2.3898 2.2618
Hf 4.1778 -0.7936 4.3567
Hf 4.0870 2.1648 5.5687
Ir 1.4275 3.2295 0.0010
Ir 2.7788 -0.0393 6.6187
S -0.7547 1.5951 3.3098
S 2.1044 -1.5891 3.3098
```

Results
* raw formation energy: -0.661 eV per atom
* total magnetization: 0.00 Bohr magnetons per cell
* symmetry: P-1, No. 2

# 4
# Hf6Ir3S

An optimized crystal structure of Hf6Ir3S (PBE, the Alexandria database).

```
20
Lattice="6.1604 0.0000 0.0000 0.0000 7.0488 0.0000 -5.7205 0.0000 9.2026" Properties=species:S:1:pos:R:3 pbc="T T T"
Hf -0.9697 0.3677 2.2873
Hf -3.8299 3.1567 6.8886
Hf 0.8847 4.7500 0.6400
Hf -1.9756 5.8232 5.2413
Hf 2.1498 1.1665 0.6113
Hf -0.7104 2.3579 5.2126
Hf 1.1502 4.6909 3.9900
Hf -1.7100 5.8823 8.5913
Hf 2.4154 1.2256 3.9613
Hf -0.4448 2.2988 8.5626
Hf 4.2698 3.8921 2.3139
Hf 1.4095 6.6811 6.9152
Ir -2.3756 0.8362 6.8903
Ir 0.4846 2.6882 2.2890
Ir 0.2199 0.0000 4.6013
Ir 3.0802 3.5244 0.0000
Ir -0.0448 4.3606 6.9136
Ir 2.8155 6.2126 2.3123
S 0.0000 0.0000 0.0000
S -2.8603 3.5244 4.6013
```

Results
* raw formation energy: -0.749 eV per atom
* total magnetization: 0.00 Bohr magnetons per cell
* symmetry: P2_1/c, No. 14

# 5
# Hf8Ir2S

An optimized crystal structure of Hf8Ir2S (PBE, the Alexandria database).

```
11
Lattice="8.5260 -2.3282 0.0000 8.5260 2.3282 0.0000 -1.8676 0.0000 5.5985" Properties=species:S:1:pos:R:3 pbc="T T T"
Hf -0.1665 0.0000 1.5002
Hf 2.0208 0.0000 4.7844
Hf 4.6799 0.0000 2.7163
Hf 6.8616 0.0000 0.2013
Hf 8.3228 0.0000 5.3972
Hf 10.5045 0.0000 2.8822
Hf 13.1637 0.0000 0.8141
Hf 15.3509 0.0000 4.0983
Ir 2.3765 0.0000 1.3692
Ir 12.8079 0.0000 4.2293
S 7.5922 0.0000 2.7993
```

Results
* raw formation energy: -0.497 eV per atom
* total magnetization: 0.00 Bohr magnetons per cell
* symmetry: C2/m, No. 12

# 6
# HfIrS2

An optimized crystal structure of HfIrS2 (PBE, the Alexandria database).

```
4
Lattice="1.6677 0.9628 7.7834 -1.6677 0.9628 7.7834 0.0000 -1.9257 7.7834" Properties=species:S:1:pos:R:3 pbc="T T T"
Hf 0.0000 0.0000 0.0000
Ir 0.0000 0.0000 11.6751
S 0.0000 0.0000 9.4070
S 0.0000 0.0000 13.9433
```

Results
* raw formation energy: -0.541 eV per atom
* total magnetization: 0.29 Bohr magnetons per cell
* excess energy over the best structure of this formula in the dataset: 0.093 eV/atom
* symmetry: R-3m, No. 166

# 7
# HfIrS

An optimized crystal structure of HfIrS (PBE, the Alexandria database).

```
6
Lattice="1.6939 0.9779 12.5676 -1.6939 0.9779 12.5676 0.0000 -1.9559 12.5676" Properties=species:S:1:pos:R:3 pbc="T T T"
Hf 0.0000 0.0000 9.1707
Hf 0.0000 0.0000 28.5321
Ir 0.0000 0.0000 5.3200
Ir 0.0000 0.0000 32.3827
S 0.0000 0.0000 14.3938
S 0.0000 0.0000 23.3090
```

Results
* raw formation energy: -0.715 eV per atom
* total magnetization: 0.00 Bohr magnetons per cell
* symmetry: R-3m, No. 166

# 8
# HfIrS2

An optimized crystal structure of HfIrS2 (PBE, the Alexandria database).

```
8
Lattice="-2.2347 2.2347 7.3369 2.2347 -2.2347 7.3369 2.2347 2.2347 -7.3369" Properties=species:S:1:pos:R:3 pbc="T T T"
Hf 0.0000 0.0000 0.0000
Hf 0.0000 2.2347 3.6684
Ir 2.2347 0.0000 3.6684
Ir 0.0000 0.0000 7.3369
S 1.1173 -1.0155 5.5026
S 1.2191 1.1173 1.8342
S 1.1173 3.2502 -1.8342
S 1.0155 1.1173 9.1711
```

Results
* raw formation energy: -0.634 eV per atom
* total magnetization: 0.00 Bohr magnetons per cell
* excess energy over the best structure of this formula in the dataset: 0.000 eV/atom
* symmetry: I-42d, No. 122

# 9
# HfIrS2

An optimized crystal structure of HfIrS2 (PBE, the Alexandria database).

```
4
Lattice="0.0000 3.1290 3.1290 3.1290 0.0000 3.1290 3.1290 3.1290 0.0000" Properties=species:S:1:pos:R:3 pbc="T T T"
Hf 0.0000 0.0000 0.0000
Ir 3.1290 3.1290 3.1290
S 1.5645 1.5645 1.5645
S 4.6934 4.6934 4.6934
```

Results
* raw formation energy: -0.385 eV per atom
* total magnetization: 0.00 Bohr magnetons per cell
* excess energy over the best structure of this formula in the dataset: 0.249 eV/atom
* symmetry: Fm-3m, No. 225

# 10
# HfTc2IrS

An optimized crystal structure of HfTc2IrS (PBE, the Alexandria database).

```
5
Lattice="4.9468 0.0000 0.0000 0.0000 4.9468 0.0000 0.0000 0.0000 4.8043" Properties=species:S:1:pos:R:3 pbc="T T T"
Hf 0.0000 0.0000 0.0000
Tc 0.0000 2.4734 0.0000
Tc 2.4734 0.0000 0.0000
Ir 0.0000 0.0000 2.4021
S 2.4734 2.4734 2.4021
```

Results
* raw formation energy: 2.028 eV per atom
* total magnetization: 5.98 Bohr magnetons per cell
* symmetry: P4/mmm, No. 123

# 11
# HfTiIr2S

An optimized crystal structure of HfTiIr2S (PBE, the Alexandria database).

```
5
Lattice="4.7913 0.0000 0.0000 0.0000 4.7913 0.0000 0.0000 0.0000 5.0115" Properties=species:S:1:pos:R:3 pbc="T T T"
Hf 0.0000 0.0000 0.0000
Ti 0.0000 0.0000 2.5058
Ir 0.0000 2.3956 0.0000
Ir 2.3956 0.0000 0.0000
S 2.3956 2.3956 2.5058
```

Results
* raw formation energy: 1.541 eV per atom
* total magnetization: 0.00 Bohr magnetons per cell
* symmetry: P4/mmm, No. 123

# 12
# HfZr2IrS

An optimized crystal structure of HfZr2IrS (PBE, the Alexandria database).

```
5
Lattice="5.2957 0.0000 0.0000 0.0000 5.2957 0.0000 0.0000 0.0000 4.6531" Properties=species:S:1:pos:R:3 pbc="T T T"
Hf 0.0000 0.0000 0.0000
Zr 0.0000 2.6479 0.0000
Zr 2.6479 0.0000 0.0000
Ir 0.0000 0.0000 2.3266
S 2.6479 2.6479 2.3266
```

Results
* raw formation energy: 1.104 eV per atom
* total magnetization: 0.00 Bohr magnetons per cell
* symmetry: P4/mmm, No. 123

# 13
# Hf6Sb2Ir

An optimized crystal structure of Hf6Sb2Ir (PBE, the Alexandria database).

```
18
Lattice="6.0546 0.0000 0.0000 0.0000 6.0546 0.0000 0.0000 0.0000 13.3756" Properties=species:S:1:pos:R:3 pbc="T T T"
Hf 1.0995 1.0995 1.9765
Hf 1.0995 1.0995 11.3991
Hf 1.2153 1.2153 6.6878
Hf 1.8120 4.2426 0.0000
Hf 1.9278 4.1268 4.7113
Hf 1.9278 4.1268 8.6643
Hf 4.1268 1.9278 4.7113
Hf 4.1268 1.9278 8.6643
Hf 4.2426 1.8120 0.0000
Hf 4.8393 4.8393 6.6878
Hf 4.9551 4.9551 1.9765
Hf 4.9551 4.9551 11.3991
Sb 0.0000 0.0000 4.3654
Sb 0.0000 0.0000 9.0102
Sb 3.0273 3.0273 2.3224
Sb 3.0273 3.0273 11.0532
Ir 0.0000 0.0000 0.0000
Ir 3.0273 3.0273 6.6878
```

Results
* raw formation energy: 0.219 eV per atom
* total magnetization: 0.00 Bohr magnetons per cell
* symmetry: P4_2/mnm, No. 136

# 14
# Hf8SbIr2

An optimized crystal structure of Hf8SbIr2 (PBE, the Alexandria database).

```
11
Lattice="3.8984 -6.2611 0.0000 3.8984 6.2611 0.0000 -1.7683 0.0000 4.9672" Properties=species:S:1:pos:R:3 pbc="T T T"
Hf -0.7038 0.0000 4.0274
Hf 1.4865 1.4894 2.1354
Hf 3.8984 3.1389 0.0000
Hf 1.4865 -1.4894 2.1354
Hf 4.5419 1.4894 2.8318
Hf 3.8984 -3.1389 0.0000
Hf 4.5419 -1.4894 2.8318
Hf 6.7323 0.0000 0.9398
Sb 3.8984 0.0000 0.0000
Ir 3.0142 3.6678 2.4836
Ir 3.0142 -3.6678 2.4836
```

Results
* raw formation energy: -0.344 eV per atom
* total magnetization: 0.00 Bohr magnetons per cell
* symmetry: C2/m, No. 12

# 15
# HfSb3Ir

An optimized crystal structure of HfSb3Ir (PBE, the Alexandria database).

```
5
Lattice="5.1504 0.0000 0.0000 0.0000 5.1504 0.0000 0.0000 0.0000 5.1504" Properties=species:S:1:pos:R:3 pbc="T T T"
Hf 0.0000 0.0000 0.0000
Sb 0.0000 2.5752 2.5752
Sb 2.5752 0.0000 2.5752
Sb 2.5752 2.5752 0.0000
Ir 2.5752 2.5752 2.5752
```

Results
* raw formation energy: 0.687 eV per atom
* total magnetization: 0.00 Bohr magnetons per cell
* symmetry: Pm-3m, No. 221

# 16
# Hf2Sb2Ir

An optimized crystal structure of Hf2Sb2Ir (PBE, the Alexandria database).

```
10
Lattice="7.0981 0.0000 0.0000 0.0000 7.0981 0.0000 0.0000 0.0000 4.1646" Properties=species:S:1:pos:R:3 pbc="T T T"
Hf 1.0812 2.4678 0.0000
Hf 2.4678 6.0169 0.0000
Hf 4.6303 1.0812 0.0000
Hf 6.0169 4.6303 0.0000
Sb 1.0815 4.6305 2.0823
Sb 2.4676 1.0815 2.0823
Sb 4.6305 6.0166 2.0823
Sb 6.0166 2.4676 2.0823
Ir 0.0000 0.0000 2.0823
Ir 3.5490 3.5490 2.0823
```

Results
* raw formation energy: -0.127 eV per atom
* total magnetization: 0.00 Bohr magnetons per cell
* symmetry: P4/mbm, No. 127

# 17
# Hf2SbIr2

An optimized crystal structure of Hf2SbIr2 (PBE, the Alexandria database).

```
10
Lattice="7.8024 0.0000 0.0000 0.0000 7.8024 0.0000 0.0000 0.0000 3.1431" Properties=species:S:1:pos:R:3 pbc="T T T"
Hf 1.2301 2.6710 0.0000
Hf 2.6710 6.5722 0.0000
Hf 5.1313 1.2301 0.0000
Hf 6.5722 5.1313 0.0000
Sb 0.0000 0.0000 1.5715
Sb 3.9012 3.9012 1.5715
Ir 1.0403 4.9415 1.5715
Ir 2.8608 1.0403 1.5715
Ir 4.9415 6.7620 1.5715
Ir 6.7620 2.8608 1.5715
```

Results
* raw formation energy: -0.744 eV per atom
* total magnetization: 0.00 Bohr magnetons per cell
* symmetry: P4/mbm, No. 127

# 18
# Hf12Sb6Ir

An optimized crystal structure of Hf12Sb6Ir (PBE, the Alexandria database).

```
19
Lattice="5.9840 3.4548 3.7352 -5.9840 3.4548 3.7352 0.0000 -6.9097 3.7352" Properties=species:S:1:pos:R:3 pbc="T T T"
Hf -1.8126 0.6607 1.6839
Hf 0.3341 -1.9001 1.6839
Hf -1.2124 -1.4758 4.2820
Hf 1.4785 1.2394 1.6839
Hf -0.6719 1.7879 4.2820
Hf -1.8843 0.3121 6.9236
Hf 1.8843 -0.3121 4.2820
Hf 0.6719 -1.7879 6.9236
Hf -1.4785 -1.2394 9.5217
Hf 1.2124 1.4758 6.9236
Hf -0.3341 1.9001 9.5217
Hf 1.8126 -0.6607 9.5217
Sb -3.3573 0.4498 4.1681
Sb -2.0682 -2.6826 7.0374
Sb 1.2891 -3.1324 4.1681
Sb -1.2891 3.1325 7.0374
Sb 2.0682 2.6826 4.1682
Sb 3.3573 -0.4498 7.0374
Ir 0.0000 0.0000 0.0000
```

Results
* raw formation energy: -0.135 eV per atom
* total magnetization: 0.00 Bohr magnetons per cell
* symmetry: R-3, No. 148

# 19
# HfSbIr3

An optimized crystal structure of HfSbIr3 (PBE, the Alexandria database).

```
5
Lattice="4.8588 0.0000 0.0000 0.0000 4.8588 0.0000 0.0000 0.0000 4.8588" Properties=species:S:1:pos:R:3 pbc="T T T"
Hf 0.0000 0.0000 0.0000
Sb 2.4294 2.4294 2.4294
Ir 0.0000 0.0000 2.4294
Ir 0.0000 2.4294 0.0000
Ir 2.4294 0.0000 0.0000
```

Results
* raw formation energy: 1.266 eV per atom
* total magnetization: 0.00 Bohr magnetons per cell
* excess energy over the best structure of this formula in the dataset: 0.076 eV/atom
* symmetry: Pm-3m, No. 221

# 20
# HfSbIr3

An optimized crystal structure of HfSbIr3 (PBE, the Alexandria database).

```
5
Lattice="4.7829 0.0000 0.0000 0.0000 4.7829 0.0000 0.0000 0.0000 4.7829" Properties=species:S:1:pos:R:3 pbc="T T T"
Hf 0.0000 0.0000 0.0000
Sb 2.3915 2.3915 2.3915
Ir 0.0000 2.3915 2.3915
Ir 2.3915 0.0000 2.3915
Ir 2.3915 2.3915 0.0000
```

Results
* raw formation energy: 1.190 eV per atom
* total magnetization: 0.00 Bohr magnetons per cell
* excess energy over the best structure of this formula in the dataset: 0.000 eV/atom
* symmetry: Pm-3m, No. 221

# 21
# Hf6SbIr

An optimized crystal structure of Hf6SbIr (PBE, the Alexandria database).

```
8
Lattice="5.2231 0.0000 0.0000 -0.3652 5.2246 0.0000 -2.1142 -2.2403 6.1735" Properties=species:S:1:pos:R:3 pbc="T T T"
Hf 0.0453 0.3174 1.4718
Hf 0.1126 2.9648 2.9945
Hf 0.0290 0.3004 4.6987
Hf 2.7147 2.6839 1.4748
Hf 2.6310 0.0195 3.1790
Hf 2.6984 2.6669 4.7017
Sb 2.6115 0.0000 0.0000
Ir -0.1826 2.6123 0.0000
```

Results
* raw formation energy: -0.251 eV per atom
* total magnetization: 0.00 Bohr magnetons per cell
* symmetry: P-1, No. 2

# 22
# HfSnSbIr2

An optimized crystal structure of HfSnSbIr2 (PBE, the Alexandria database).

```
5
Lattice="4.8453 0.0000 0.0000 0.0000 4.8453 0.0000 0.0000 0.0000 5.3004" Properties=species:S:1:pos:R:3 pbc="T T T"
Hf 0.0000 0.0000 0.0000
Sn 0.0000 0.0000 2.6502
Sb 2.4227 2.4227 0.0000
Ir 0.0000 2.4227 2.6502
Ir 2.4227 0.0000 2.6502
```

Results
* raw formation energy: 1.244 eV per atom
* total magnetization: 0.00 Bohr magnetons per cell
* symmetry: P4/mmm, No. 123

# 23
# HfSb2TeIr

An optimized crystal structure of HfSb2TeIr (PBE, the Alexandria database).

```
5
Lattice="5.0716 0.0000 0.0000 0.0000 5.0716 0.0000 0.0000 0.0000 5.3751" Properties=species:S:1:pos:R:3 pbc="T T T"
Hf 0.0000 0.0000 0.0000
Sb 0.0000 2.5358 2.6875
Sb 2.5358 0.0000 2.6875
Te 2.5358 2.5358 0.0000
Ir 2.5358 2.5358 2.6875
```

Results
* raw formation energy: 0.654 eV per atom
* total magnetization: 0.00 Bohr magnetons per cell
* excess energy over the best structure of this formula in the dataset: 0.000 eV/atom
* symmetry: P4/mmm, No. 123

# 24
# HfSb2TeIr

An optimized crystal structure of HfSb2TeIr (PBE, the Alexandria database).

```
5
Lattice="5.4314 0.0000 0.0000 0.0000 5.4314 0.0000 0.0000 0.0000 5.3425" Properties=species:S:1:pos:R:3 pbc="T T T"
Hf 0.0000 0.0000 0.0000
Sb 0.0000 2.7157 0.0000
Sb 2.7157 0.0000 0.0000
Te 0.0000 0.0000 2.6713
Ir 2.7157 2.7157 2.6713
```

Results
* raw formation energy: 1.114 eV per atom
* total magnetization: 1.23 Bohr magnetons per cell
* excess energy over the best structure of this formula in the dataset: 0.460 eV/atom
* symmetry: P4/mmm, No. 123

# 25
# Hf2ScIr

An optimized crystal structure of Hf2ScIr (PBE, the Alexandria database).

```
4
Lattice="3.3438 0.0000 0.0000 0.0000 3.3438 0.0000 0.0000 0.0000 7.2212" Properties=species:S:1:pos:R:3 pbc="T T T"
Hf 0.0000 0.0000 1.5561
Hf 0.0000 0.0000 5.6651
Sc 1.6719 1.6719 3.6106
Ir 1.6719 1.6719 0.0000
```

Results
* calculated formation energy: -0.392 eV per atom
* total magnetization: 0.00 Bohr magnetons per cell
* excess energy over the best structure of this formula in the dataset: 0.107 eV/atom
* symmetry: P4/mmm, No. 123